# 1
PBE-GGA Ac2AlBi2Au4, relaxed; space-group type = I4/mmm, No. 139; magnetization = 0.00 μB per atom; calculated formation energy = -5.265 eV per formula unit
1.0
-3.4666 3.4666 4.9329
3.4666 -3.4666 4.9329
3.4666 3.4666 -4.9329
Ac Al Bi Au
2 1 2 4
Direct
0.2500 0.7500 0.5000 Ac
0.7500 0.2500 0.5000 Ac
0.0000 0.0000 0.0000 Al
0.3083 0.3083 0.0000 Bi
0.6917 0.6917 0.0000 Bi
0.2571 0.2571 0.5142 Au
0.2571 0.7429 0.0000 Au
0.7429 0.2571 0.0000 Au
0.7429 0.7429 0.4858 Au

# 2
PBE-GGA Rb2LiTmF6, relaxed; space-group type = Fm-3m, No. 225; magnetization = 0.00 μB per atom; formation energy without anion corrections = -3380 meV/atom
1.0
0.0000 4.3104 4.3104
4.3104 0.0000 4.3104
4.3104 4.3104 0.0000
Rb Li Tm F
2 1 1 6
Direct
0.2500 0.2500 0.2500 Rb
0.7500 0.7500 0.7500 Rb
0.0000 0.0000 0.0000 Li
0.5000 0.5000 0.5000 Tm
0.2507 0.2507 0.7493 F
0.2507 0.7493 0.2507 F
0.2507 0.7493 0.7493 F
0.7493 0.2507 0.2507 F
0.7493 0.2507 0.7493 F
0.7493 0.7493 0.2507 F

# 3
PBE-GGA Fe2AsAu, relaxed; space-group type = P2/m, No. 10; magnetization = 1.25 μB per atom; calculated formation energy = 0.724 eV per formula unit
1.0
2.8303 0.0000 0.0000
0.0000 3.8037 0.0000
-0.9693 0.0000 5.4364
Fe As Au
2 1 1
Direct
0.0811 0.0000 0.2798 Fe
0.9189 0.0000 0.7202 Fe
0.5000 0.5000 0.5000 As
0.5000 0.5000 0.0000 Au

# 4
PBE-GGA NpZnIn, relaxed; space-group type = Pnma, No. 62; magnetization = 0.20 μB per atom; calculated formation energy = 0.016 eV per formula unit
1.0
8.1398 0.0000 0.0000
0.0000 3.4422 0.0000
0.0000 0.0000 8.8679
Np Zn In
4 4 4
Direct
0.0027 0.2500 0.0931 Np
0.4973 0.7500 0.5931 Np
0.5027 0.2500 0.4069 Np
0.9973 0.7500 0.9069 Np
0.1821 0.7500 0.3656 Zn
0.3179 0.2500 0.8656 Zn
0.6821 0.7500 0.1344 Zn
0.8179 0.2500 0.6344 Zn
0.1512 0.2500 0.6086 In
0.3488 0.7500 0.1086 In
0.6512 0.2500 0.8914 In
0.8488 0.7500 0.3914 In